Record 1
Entry from OQMD via LeMat-Bulk: a relaxed structure of HfTlFeTc (PBE).

POSCAR file:
```
HfTlFeTc
1.0
-0.2189 -3.3835 3.0816
1.5006 0.6928 4.2733
-2.9873 0.2471 3.4652
Fe Hf Tl Tc
1 1 1 1
Direct
0.7500 0.7500 0.7500
0.5000 0.5000 0.5000
0.0000 0.0000 0.0000
0.2500 0.2500 0.2500
```

Properties
magnetic moment: 1.887 μB/f.u.
energy relative to the lowest polymorph listed for this composition: 0.00 eV per formula unit

=====

Record 2
Entry from OQMD via LeMat-Bulk: a relaxed structure of HfZnFeTc (PBE).

POSCAR file:
```
HfZnFeTc
1.0
2.3652 -0.9473 3.5891
0.1676 2.8584 3.3428
-2.0315 -0.9277 3.7928
Hf Tc Fe Zn
1 1 1 1
Direct
0.5000 0.5000 0.5000
0.2500 0.2500 0.2500
0.7500 0.7500 0.7500
0.0000 0.0000 0.0000
```

Properties
formation energy: 0.01 eV per atom
magnetic moment: 2.464 μB/f.u.
energy relative to the lowest polymorph listed for this composition: 0.00 eV per formula unit

=====

Record 3
Entry from OQMD via LeMat-Bulk: a relaxed structure of HfZnFeTc (PBE).

POSCAR file:
```
HfZnFeTc
1.0
-1.9221 -2.7173 2.9404
-4.1435 0.7995 1.3843
-3.3195 -2.6608 -1.2749
Fe Tc Zn Hf
1 1 1 1
Direct
0.7500 0.7500 0.7500
0.5000 0.5000 0.5000
0.0000 0.0000 0.0000
0.2500 0.2500 0.2500
```

Properties
formation energy: 0.06 eV per atom
magnetic moment: 3.025 μB/f.u.
energy relative to the lowest polymorph listed for this composition: 0.19 eV per formula unit

=====

Record 4
Entry from OQMD via LeMat-Bulk: a relaxed structure of HfFe2Te (PBE).

POSCAR file:
```
HfFe2Te
1.0
0.0000 3.2220 3.2220
3.2220 0.0000 3.2220
3.2220 3.2220 0.0000
Te Fe Hf
1 2 1
Direct
0.5000 0.5000 0.5000
0.0000 0.0000 0.0000
0.7500 0.7500 0.7500
0.2500 0.2500 0.2500
```

Properties
raw total energy: -28.8 eV/cell
magnetic moment: 4.002 μB/f.u.

=====

Record 5
Entry from OQMD via LeMat-Bulk: a relaxed structure of Hf2FeTe (PBE).

POSCAR file:
```
Hf2FeTe
1.0
0.0000 3.3596 3.3596
3.3596 0.0000 3.3596
3.3596 3.3596 0.0000
Hf Fe Te
2 1 1
Direct
0.7500 0.7500 0.7500
0.0000 0.0000 0.0000
0.2500 0.2500 0.2500
0.5000 0.5000 0.5000
```

Properties
raw total energy: -30.0 eV/cell
magnetic moment: 2.514 μB/f.u.

=====

Record 6
Entry from OQMD via LeMat-Bulk: a relaxed structure of Tm3Hf3FeTe2 (PBE).

POSCAR file:
```
Tm3Hf3FeTe2
1.0
7.9518 0.0000 0.0000
-3.9759 6.8865 0.0000
0.0000 0.0000 3.7600
Hf Tm Te Fe
3 3 2 1
Direct
0.7729 0.0000 0.5000
0.0000 0.7729 0.5000
0.2271 0.2271 0.5000
0.0000 0.3940 0.0000
0.6060 0.6060 0.0000
0.3940 0.0000 0.0000
0.6667 0.3333 0.5000
0.3333 0.6667 0.5000
0.0000 0.0000 0.0000
```

Properties
magnetic moment: 0.397 μB/f.u.
energy relative to the lowest polymorph listed for this composition: 0.00 eV per formula unit

=====

Record 7
Entry from OQMD via LeMat-Bulk: a relaxed structure of Tm3Hf3FeTe2 (PBE).

POSCAR file:
```
Tm3Hf3FeTe2
1.0
8.0114 0.0000 0.0000
-4.0057 6.9380 0.0000
0.0000 0.0000 3.6386
Hf Fe Te Tm
3 1 2 3
Direct
0.3980 0.0000 0.0000
0.0000 0.3980 0.0000
0.6020 0.6020 0.0000
0.0000 0.0000 0.0000
0.3333 0.6667 0.5000
0.6667 0.3333 0.5000
0.2424 0.2424 0.5000
0.7576 0.0000 0.5000
0.0000 0.7576 0.5000
```

Properties
magnetic moment: 0.006 μB/f.u.
energy relative to the lowest polymorph listed for this composition: 2.31 eV per formula unit

=====

Record 8
Entry from OQMD via LeMat-Bulk: a relaxed structure of HfThFe (PBE).

POSCAR file:
```
HfThFe
1.0
0.0000 3.2377 3.2377
3.2377 0.0000 3.2377
3.2377 3.2377 0.0000
Fe Hf Th
1 1 1
Direct
0.2500 0.2500 0.2500
0.7500 0.7500 0.7500
0.0000 0.0000 0.0000
```

Properties
formation energy: 1.16 eV per atom
magnetic moment: 0.007 μB/f.u.
energy relative to the lowest polymorph listed for this composition: 3.02 eV per formula unit

=====

What did the sixth record say?
Entry from OQMD via LeMat-Bulk: a relaxed structure of Tm3Hf3FeTe2 (PBE).

POSCAR file:
```
Tm3Hf3FeTe2
1.0
7.9518 0.0000 0.0000
-3.9759 6.8865 0.0000
0.0000 0.0000 3.7600
Hf Tm Te Fe
3 3 2 1
Direct
0.7729 0.0000 0.5000
0.0000 0.7729 0.5000
0.2271 0.2271 0.5000
0.0000 0.3940 0.0000
0.6060 0.6060 0.0000
0.3940 0.0000 0.0000
0.6667 0.3333 0.5000
0.3333 0.6667 0.5000
0.0000 0.0000 0.0000
```

Properties
magnetic moment: 0.397 μB/f.u.
energy relative to the lowest polymorph listed for this composition: 0.00 eV per formula unit